DFT (GGA-PBEsol) results for Ga2MoCBr after structural relaxation.

Lattice parameters (Å, degrees): 5.001 5.001 4.705 90.00 90.00 90.00
Fractional coordinates of all 5 atoms:
Ga (0.000, 0.500, 0.000)
Ga (0.500, 0.000, 0.000)
Mo (0.000, 0.000, 0.000)
C (0.500, 0.500, 0.500)
Br (0.000, 0.000, 0.500)

As for the uncorrected formation energy: 8.693 eV per formula unit. The total moment comes out at 0.4772 μB/atom. The density of states at the Fermi level comes out at 5.1 states/eV per cell. The energy comes out at -4.254 eV/atom.

---

DFT (GGA-PBEsol) results for GaCSe2Br after structural relaxation.

Lattice parameters (Å, degrees): 4.919 4.919 4.949 90.00 90.00 90.00
Fractional coordinates of all 5 atoms:
Ga (0.000, 0.000, 0.000)
C (0.500, 0.500, 0.500)
Se (0.000, 0.500, 0.000)
Se (0.500, 0.000, 0.000)
Br (0.000, 0.000, 0.500)

As for the uncorrected formation energy: 7.926 eV per formula unit. The total moment comes out at 0.1584 μB/atom. The density of states at the Fermi level comes out at 4.8 states/eV per cell. The energy comes out at -2.926 eV/atom.

---

DFT (GGA-PBEsol) results for Ge3CBr after structural relaxation.

Lattice parameters (Å, degrees): 5.050 5.050 5.050 90.00 90.00 90.00
Fractional coordinates of all 5 atoms:
Ge (0.000, 0.000, 0.500)
Ge (0.000, 0.500, 0.000)
Ge (0.500, 0.000, 0.000)
C (0.500, 0.500, 0.500)
Br (0.000, 0.000, 0.000)

As for the uncorrected formation energy: 11.366 eV per formula unit. The total moment comes out at 0.0801 μB/atom. The density of states at the Fermi level comes out at 2.0 states/eV per cell. The energy comes out at -2.993 eV/atom.

---

DFT (GGA-PBEsol) results for GeOsCBr2 after structural relaxation.

Lattice parameters (Å, degrees): 5.175 5.175 3.792 90.00 90.00 90.00
Fractional coordinates of all 5 atoms:
Ge (0.000, 0.000, 0.000)
Os (0.500, 0.500, 0.500)
C (0.500, 0.500, 0.000)
Br (0.000, 0.500, 0.500)
Br (0.500, 0.000, 0.500)

As for the uncorrected formation energy: 4.763 eV per formula unit. The total moment comes out at 0.0002 μB/atom. The density of states at the Fermi level comes out at 2.8 states/eV per cell. The energy comes out at -5.155 eV/atom.

---

DFT (GGA-PBEsol) results for HgH8C2Br3N after structural relaxation.

Lattice parameters (Å, degrees): 6.927 6.230 10.311 90.00 97.52 90.00
Fractional coordinates of all 30 atoms:
Hg (0.092, 0.250, 0.136)
Hg (0.908, 0.750, 0.864)
H (0.237, 0.250, 0.816)
H (0.272, 0.107, 0.605)
H (0.272, 0.393, 0.605)
H (0.358, 0.607, 0.372)
H (0.358, 0.893, 0.372)
H (0.447, 0.113, 0.824)
H (0.447, 0.387, 0.824)
H (0.461, 0.750, 0.514)
H (0.539, 0.250, 0.486)
H (0.553, 0.613, 0.176)
H (0.553, 0.887, 0.176)
H (0.642, 0.107, 0.628)
H (0.642, 0.393, 0.628)
H (0.728, 0.607, 0.395)
H (0.728, 0.893, 0.395)
H (0.763, 0.750, 0.184)
C (0.358, 0.250, 0.639)
C (0.444, 0.750, 0.407)
C (0.556, 0.250, 0.593)
C (0.642, 0.750, 0.361)
Br (0.033, 0.750, 0.647)
Br (0.071, 0.750, 0.108)
Br (0.469, 0.250, 0.127)
Br (0.531, 0.750, 0.873)
Br (0.929, 0.250, 0.892)
Br (0.967, 0.250, 0.353)
N (0.374, 0.250, 0.785)
N (0.626, 0.750, 0.215)

The total moment comes out at 0.0000 μB/atom. The density of states at the Fermi level comes out at 0.0 states/eV per cell. The energy comes out at -4.400 eV/atom.

---

DFT (GGA-PBEsol) results for HgH10C3Br3N after structural relaxation.

Lattice parameters (Å, degrees): 8.666 14.535 8.198 90.00 93.81 90.00
Fractional coordinates of all 72 atoms:
Hg (0.236, 0.219, 0.299)
Hg (0.236, 0.281, 0.799)
Hg (0.764, 0.719, 0.201)
Hg (0.764, 0.781, 0.701)
H (0.086, 0.611, 0.411)
H (0.086, 0.889, 0.911)
H (0.119, 0.663, 0.137)
H (0.119, 0.837, 0.637)
H (0.141, 0.502, 0.204)
H (0.141, 0.998, 0.704)
H (0.191, 0.512, 0.492)
H (0.191, 0.988, 0.992)
H (0.253, 0.604, 0.014)
H (0.253, 0.896, 0.514)
H (0.292, 0.619, 0.463)
H (0.292, 0.881, 0.963)
H (0.325, 0.674, 0.185)
H (0.325, 0.826, 0.685)
H (0.371, 0.065, 0.829)
H (0.371, 0.435, 0.329)
H (0.389, 0.032, 0.620)
H (0.389, 0.468, 0.120)
H (0.473, 0.539, 0.284)
H (0.473, 0.961, 0.784)
H (0.527, 0.039, 0.216)
H (0.527, 0.461, 0.716)
H (0.611, 0.532, 0.880)
H (0.611, 0.968, 0.380)
H (0.629, 0.565, 0.671)
H (0.629, 0.935, 0.171)
H (0.675, 0.174, 0.315)
H (0.675, 0.326, 0.815)
H (0.708, 0.119, 0.037)
H (0.708, 0.381, 0.537)
H (0.747, 0.104, 0.486)
H (0.747, 0.396, 0.986)
H (0.809, 0.012, 0.008)
H (0.809, 0.488, 0.508)
H (0.859, 0.002, 0.296)
H (0.859, 0.498, 0.796)
H (0.881, 0.163, 0.363)
H (0.881, 0.337, 0.863)
H (0.914, 0.111, 0.089)
H (0.914, 0.389, 0.589)
C (0.197, 0.574, 0.415)
C (0.197, 0.926, 0.915)
C (0.232, 0.628, 0.138)
C (0.232, 0.872, 0.638)
C (0.376, 0.007, 0.745)
C (0.376, 0.493, 0.245)
C (0.624, 0.507, 0.755)
C (0.624, 0.993, 0.255)
C (0.768, 0.128, 0.362)
C (0.768, 0.372, 0.862)
C (0.803, 0.074, 0.085)
C (0.803, 0.426, 0.585)
Br (0.033, 0.155, 0.756)
Br (0.033, 0.345, 0.256)
Br (0.180, 0.047, 0.322)
Br (0.180, 0.453, 0.822)
Br (0.439, 0.233, 0.055)
Br (0.439, 0.267, 0.555)
Br (0.561, 0.733, 0.445)
Br (0.561, 0.767, 0.945)
Br (0.820, 0.547, 0.178)
Br (0.820, 0.953, 0.678)
Br (0.967, 0.655, 0.744)
Br (0.967, 0.845, 0.244)
N (0.230, 0.546, 0.247)
N (0.230, 0.954, 0.747)
N (0.770, 0.046, 0.253)
N (0.770, 0.454, 0.753)

The total moment comes out at 0.0000 μB/atom. The density of states at the Fermi level comes out at 0.0 states/eV per cell. The energy comes out at -4.558 eV/atom.

---

DFT (GGA-PBEsol) results for SnH16C4Br6N2 after structural relaxation.

Lattice parameters (Å, degrees): 9.283 12.861 7.408 90.00 90.00 90.00
Fractional coordinates of all 58 atoms:
Sn (0.000, 0.000, 0.000)
Sn (0.500, 0.500, 0.500)
H (0.070, 0.310, 0.379)
H (0.070, 0.310, 0.621)
H (0.079, 0.747, 0.500)
H (0.083, 0.122, 0.388)
H (0.083, 0.122, 0.612)
H (0.178, 0.599, 0.000)
H (0.194, 0.721, 0.121)
H (0.194, 0.721, 0.879)
H (0.306, 0.221, 0.379)
H (0.306, 0.221, 0.621)
H (0.322, 0.099, 0.500)
H (0.417, 0.622, 0.112)
H (0.417, 0.622, 0.888)
H (0.421, 0.247, 0.000)
H (0.430, 0.810, 0.121)
H (0.430, 0.810, 0.879)
H (0.570, 0.190, 0.121)
H (0.570, 0.190, 0.879)
H (0.579, 0.753, 0.000)
H (0.583, 0.378, 0.112)
H (0.583, 0.378, 0.888)
H (0.678, 0.901, 0.500)
H (0.694, 0.779, 0.379)
H (0.694, 0.779, 0.621)
H (0.806, 0.279, 0.121)
H (0.806, 0.279, 0.879)
H (0.822, 0.401, 0.000)
H (0.917, 0.878, 0.388)
H (0.917, 0.878, 0.612)
H (0.921, 0.253, 0.500)
H (0.930, 0.690, 0.379)
H (0.930, 0.690, 0.621)
C (0.038, 0.267, 0.500)
C (0.226, 0.677, 0.000)
C (0.274, 0.177, 0.500)
C (0.462, 0.767, 0.000)
C (0.538, 0.233, 0.000)
C (0.726, 0.823, 0.500)
C (0.774, 0.323, 0.000)
C (0.962, 0.733, 0.500)
Br (0.122, 0.184, 0.000)
Br (0.177, 0.938, 0.254)
Br (0.177, 0.938, 0.746)
Br (0.323, 0.438, 0.246)
Br (0.323, 0.438, 0.754)
Br (0.378, 0.684, 0.500)
Br (0.622, 0.316, 0.500)
Br (0.677, 0.562, 0.246)
Br (0.677, 0.562, 0.754)
Br (0.823, 0.062, 0.254)
Br (0.823, 0.062, 0.746)
Br (0.878, 0.816, 0.000)
N (0.115, 0.166, 0.500)
N (0.385, 0.666, 0.000)
N (0.615, 0.334, 0.000)
N (0.885, 0.834, 0.500)

The total moment comes out at 0.0000 μB/atom. The energy comes out at -4.660 eV/atom.

---

DFT (GGA-PBEsol) results for HfCBr3 after structural relaxation.

Lattice parameters (Å, degrees): 4.551 4.551 4.551 90.00 90.00 90.00
Fractional coordinates of all 5 atoms:
Hf (0.000, 0.000, 0.000)
C (0.500, 0.500, 0.500)
Br (0.000, 0.500, 0.500)
Br (0.500, 0.000, 0.500)
Br (0.500, 0.500, 0.000)

As for the uncorrected formation energy: 5.496 eV per formula unit. The total moment comes out at 0.3014 μB/atom. For the excess energy over the best structure of this formula in the dataset, the calculation gives 195 kJ/mol of formula units. The density of states at the Fermi level comes out at 4.2 states/eV per cell. The energy comes out at -4.052 eV/atom.

---

DFT (GGA-PBEsol) results for Hf2CBr after structural relaxation.

Lattice parameters (Å, degrees): 6.574 6.574 6.574 130.27 130.27 72.98
Fractional coordinates of all 8 atoms:
Hf (0.040, 0.625, 0.915)
Hf (0.375, 0.290, 0.415)
Hf (0.710, 0.125, 0.085)
Hf (0.875, 0.960, 0.585)
C (0.000, 0.000, 0.000)
C (0.750, 0.250, 0.500)
Br (0.250, 0.750, 0.500)
Br (0.500, 0.500, 0.000)

As for the uncorrected formation energy: -0.625 eV per formula unit. The total moment comes out at 0.0000 μB/atom. The density of states at the Fermi level comes out at 3.8 states/eV per cell. The energy comes out at -8.286 eV/atom.

---

DFT (GGA-PBEsol) results for HfCBr3 after structural relaxation.

Lattice parameters (Å, degrees): 5.152 5.152 5.152 90.00 90.00 90.00
Fractional coordinates of all 5 atoms:
Hf (0.000, 0.000, 0.000)
C (0.500, 0.500, 0.500)
Br (0.000, 0.000, 0.500)
Br (0.000, 0.500, 0.000)
Br (0.500, 0.000, 0.000)

As for the uncorrected formation energy: 3.474 eV per formula unit. The total moment comes out at 0.4903 μB/atom. For the excess energy over the best structure of this formula in the dataset, the calculation gives 0 kJ/mol of formula units. The density of states at the Fermi level comes out at 8.7 states/eV per cell. The energy comes out at -4.456 eV/atom.

---

DFT (GGA-PBEsol) results for Hf2ReCBr after structural relaxation.

Lattice parameters (Å, degrees): 5.013 5.013 4.583 90.00 90.00 90.00
Fractional coordinates of all 5 atoms:
Hf (0.000, 0.500, 0.000)
Hf (0.500, 0.000, 0.000)
Re (0.000, 0.000, 0.000)
C (0.500, 0.500, 0.500)
Br (0.000, 0.000, 0.500)

As for the uncorrected formation energy: 10.365 eV per formula unit. The total moment comes out at 0.0142 μB/atom. The density of states at the Fermi level comes out at 5.3 states/eV per cell. The energy comes out at -7.097 eV/atom.

---

DFT (GGA-PBEsol) results for HfCSeBr2 after structural relaxation.

Lattice parameters (Å, degrees): 4.493 4.493 4.386 90.00 90.00 90.00
Fractional coordinates of all 5 atoms:
Hf (0.000, 0.000, 0.000)
C (0.500, 0.500, 0.500)
Se (0.500, 0.500, 0.000)
Br (0.000, 0.500, 0.500)
Br (0.500, 0.000, 0.500)

As for the uncorrected formation energy: 4.474 eV per formula unit. The total moment comes out at 0.1508 μB/atom. The density of states at the Fermi level comes out at 4.7 states/eV per cell. The energy comes out at -4.653 eV/atom.

---

DFT (GGA-PBEsol) results for HgCBr2 after structural relaxation.

Lattice parameters (Å, degrees): 4.879 4.879 4.879 60.00 60.00 60.00
Fractional coordinates of all 4 atoms:
Hg (0.000, 0.000, 0.000)
C (0.500, 0.500, 0.500)
Br (0.250, 0.250, 0.250)
Br (0.750, 0.750, 0.750)

As for the uncorrected formation energy: 6.607 eV per formula unit. The total moment comes out at 0.3584 μB/atom. The density of states at the Fermi level comes out at 3.2 states/eV per cell. The energy comes out at -1.836 eV/atom.

---

DFT (GGA-PBEsol) results for Sb2CIBr after structural relaxation.

Lattice parameters (Å, degrees): 4.895 4.895 4.903 90.00 90.00 90.00
Fractional coordinates of all 5 atoms:
Sb (0.000, 0.500, 0.000)
Sb (0.500, 0.000, 0.000)
C (0.000, 0.000, 0.000)
I (0.000, 0.000, 0.500)
Br (0.500, 0.500, 0.500)

As for the uncorrected formation energy: 4.727 eV per formula unit. The total moment comes out at 0.0000 μB/atom. The density of states at the Fermi level comes out at 3.5 states/eV per cell. The energy comes out at -3.534 eV/atom.

---

DFT (GGA-PBEsol) results for In2TcCBr after structural relaxation.

Lattice parameters (Å, degrees): 5.490 5.490 3.722 90.00 90.00 90.00
Fractional coordinates of all 5 atoms:
In (0.000, 0.500, 0.000)
In (0.500, 0.000, 0.000)
Tc (0.000, 0.000, 0.500)
C (0.500, 0.500, 0.500)
Br (0.500, 0.500, 0.000)

As for the uncorrected formation energy: 10.503 eV per formula unit. The total moment comes out at 0.6366 μB/atom. The density of states at the Fermi level comes out at 4.6 states/eV per cell. The energy comes out at -3.649 eV/atom.

---

DFT (GGA-PBEsol) results for KCBr2 after structural relaxation.

Lattice parameters (Å, degrees): 5.115 5.115 5.115 60.00 60.00 60.00
Fractional coordinates of all 4 atoms:
K (0.000, 0.000, 0.000)
C (0.500, 0.500, 0.500)
Br (0.250, 0.250, 0.250)
Br (0.750, 0.750, 0.750)

As for the uncorrected formation energy: 3.947 eV per formula unit. The total moment comes out at 0.2500 μB/atom. The density of states at the Fermi level comes out at 4.2 states/eV per cell. The energy comes out at -2.643 eV/atom.

---

DFT (GGA-PBEsol) results for K3CBr after structural relaxation.

Lattice parameters (Å, degrees): 6.100 6.100 6.100 90.00 90.00 90.00
Fractional coordinates of all 5 atoms:
K (0.000, 0.000, 0.500)
K (0.000, 0.500, 0.000)
K (0.500, 0.000, 0.000)
C (0.500, 0.500, 0.500)
Br (0.000, 0.000, 0.000)

As for the uncorrected formation energy: 2.858 eV per formula unit. The total moment comes out at 0.4360 μB/atom. The density of states at the Fermi level comes out at 1.6 states/eV per cell. The energy comes out at -2.411 eV/atom.